# PBEsol ZrTePb, optimized geometry
data_ZrTePb
_symmetry_space_group_name_H-M 'P 1'
_symmetry_Int_Tables_number 1
_cell_length_a 3.617
_cell_length_b 3.617
_cell_length_c 6.924
_cell_angle_alpha 90.00
_cell_angle_beta 90.00
_cell_angle_gamma 120.00
loop_
_symmetry_equiv_pos_as_xyz
'x,y,z'
loop_
_atom_site_label
_atom_site_fract_x
_atom_site_fract_y
_atom_site_fract_z
Zr1 0.000 0.000 0.000
Te1 0.667 0.333 0.275
Pb1 0.333 0.667 0.666
# * SG: P3m1 (156)
# * uncorrected formation energy: -0.380 eV per atom
# * N(E_F): 0.55 states/eV/atom